[1]
VASP calculation (SCAN) on a PBEsol-optimized structure of SnSbMoW2.

calculated total energy: -46.730 eV per atom
density: 9.3 g/cm3
M_tot: 1.14 Bohr magnetons per cell
E_form (uncorrected): 2.76 eV per atom
DOS(E_F): 5.32 states/eV per cell

Unit cell a=4.866 b=4.866 c=5.317 alpha=90.00 beta=90.00 gamma=90.00
Positions (direct):
Sn (0.000, 0.000, 0.000)
Sb (0.000, 0.000, 0.500)
Mo (0.500, 0.500, 0.000)
W (0.000, 0.500, 0.500)
W (0.500, 0.000, 0.500)

***

[2]
VASP calculation (SCAN) on a PBEsol-optimized structure of LiTl2In.

calculated total energy: -45.212 eV per atom
density: 9.1 g/cm3
M_tot: 0.00 Bohr magnetons per cell
DOS(E_F): 1.83 states/eV per cell

Unit cell a=3.436 b=4.377 c=6.470 alpha=90.00 beta=90.00 gamma=90.00
Positions (direct):
Li (0.000, 0.000, 0.000)
Tl (0.000, 0.000, 0.510)
Tl (0.500, 0.500, 0.235)
In (0.500, 0.500, 0.763)

***

[3]
VASP calculation (SCAN) on a PBEsol-optimized structure of CaMgPb.

calculated total energy: -30.680 eV per atom
density: 4.9 g/cm3
M_tot: 0.00 Bohr magnetons per cell

Unit cell a=7.144 b=7.144 c=7.144 alpha=90.00 beta=90.00 gamma=90.00
Positions (direct):
Ca (0.000, 0.000, 0.000)
Ca (0.000, 0.500, 0.500)
Ca (0.500, 0.000, 0.500)
Ca (0.500, 0.500, 0.000)
Mg (0.000, 0.000, 0.500)
Mg (0.000, 0.500, 0.000)
Mg (0.500, 0.000, 0.000)
Mg (0.500, 0.500, 0.500)
Pb (0.250, 0.250, 0.750)
Pb (0.250, 0.750, 0.250)
Pb (0.750, 0.250, 0.250)
Pb (0.750, 0.750, 0.750)